VASP calculation (PBE) on a relaxed NaCaF2 crystal.

Lattice parameters (Å, degrees): 4.478 4.478 4.478 60.00 60.00 60.00
Atoms (fractional coordinates):
Na  0.000  0.000  0.000
Ca  0.500  0.500  0.500
F  0.250  0.250  0.250
F  0.750  0.750  0.750

- E_form (uncorrected) (eV per atom) = -2.24